No. 1
# Co5Ir6 (PBE-GGA, relaxed)
# volume = 147.2 Å³/cell
# space group = C2/m, No. 12
# total energy = -7.903 eV per atom
# relative energy among the computed polymorphs = 0.0 meV per atom
data_Co5Ir6
_cell_length_a 6.081
_cell_length_b 6.081
_cell_length_c 4.484
_cell_angle_alpha 104.37
_cell_angle_beta 104.37
_cell_angle_gamma 104.04
_space_group_name_H-M_alt 'P 1'
_space_group_IT_number 1
_space_group_name_Hall 'P 1'
loop_
_atom_site_label
_atom_site_type_symbol
_atom_site_fract_x
_atom_site_fract_y
_atom_site_fract_z
Co1 Co 0.000 0.000 0.000
Co2 Co 0.130 0.870 0.500
Co3 Co 0.270 0.730 0.000
Co4 Co 0.730 0.270 0.000
Co5 Co 0.870 0.130 0.500
Ir1 Ir 0.168 0.451 0.378
Ir2 Ir 0.303 0.303 0.878
Ir3 Ir 0.451 0.168 0.378
Ir4 Ir 0.549 0.832 0.622
Ir5 Ir 0.697 0.697 0.122
Ir6 Ir 0.832 0.549 0.622

No. 2
# CuSi (PBE-GGA, relaxed)
# volume = 107.8 Å³/cell
# space group = P4/mmm, No. 123
# total energy = -4.153 eV per atom
# uncorrected formation energy = 607 meV/atom
data_CuSi
_cell_length_a 4.605
_cell_length_b 4.605
_cell_length_c 5.081
_cell_angle_alpha 90.00
_cell_angle_beta 90.00
_cell_angle_gamma 90.00
_space_group_name_H-M_alt 'P 1'
_space_group_IT_number 1
_space_group_name_Hall 'P 1'
loop_
_atom_site_label
_atom_site_type_symbol
_atom_site_fract_x
_atom_site_fract_y
_atom_site_fract_z
Cu1 Cu 0.000 0.000 0.000
Cu2 Cu 0.000 0.500 0.500
Cu3 Cu 0.500 0.000 0.500
Si1 Si 0.000 0.000 0.500
Si2 Si 0.000 0.500 0.000
Si3 Si 0.500 0.000 0.000

No. 3
# Ho2HfGa (PBE-GGA, relaxed)
# volume = 98.2 Å³/cell
# space group = P4/mmm, No. 123
# total energy = -5.745 eV per atom
# relative energy among the computed polymorphs = 0.0 meV per atom
data_Ho2HfGa
_cell_length_a 3.395
_cell_length_b 3.395
_cell_length_c 8.516
_cell_angle_alpha 90.00
_cell_angle_beta 90.00
_cell_angle_gamma 90.00
_space_group_name_H-M_alt 'P 1'
_space_group_IT_number 1
_space_group_name_Hall 'P 1'
loop_
_atom_site_label
_atom_site_type_symbol
_atom_site_fract_x
_atom_site_fract_y
_atom_site_fract_z
Ho1 Ho 0.000 0.000 0.229
Ho2 Ho 0.000 0.000 0.771
Hf1 Hf 0.500 0.500 0.500
Ga1 Ga 0.500 0.500 0.000

No. 4
# Nd2Ag2Hg3 (PBE-GGA, relaxed)
# volume = 356.3 Å³/cell
# space group = Cmmm, No. 65
# total energy = -2.554 eV per atom
# relative energy among the computed polymorphs = 80.1 meV per atom
data_Nd2Ag2Hg3
_cell_length_a 4.657
_cell_length_b 20.984
_cell_length_c 3.645
_cell_angle_alpha 90.00
_cell_angle_beta 90.00
_cell_angle_gamma 90.00
_space_group_name_H-M_alt 'P 1'
_space_group_IT_number 1
_space_group_name_Hall 'P 1'
loop_
_atom_site_label
_atom_site_type_symbol
_atom_site_fract_x
_atom_site_fract_y
_atom_site_fract_z
Nd1 Nd 0.000 0.157 0.000
Nd2 Nd 0.000 0.843 0.000
Nd3 Nd 0.500 0.343 0.000
Nd4 Nd 0.500 0.657 0.000
Ag1 Ag 0.000 0.286 0.500
Ag2 Ag 0.000 0.714 0.500
Ag3 Ag 0.500 0.214 0.500
Ag4 Ag 0.500 0.786 0.500
Hg1 Hg 0.000 0.000 0.000
Hg2 Hg 0.000 0.426 0.500
Hg3 Hg 0.000 0.574 0.500
Hg4 Hg 0.500 0.074 0.500
Hg5 Hg 0.500 0.500 0.000
Hg6 Hg 0.500 0.926 0.500